No. 1
A plane-wave DFT calculation with PBE-GGA was carried out for a relaxed YPaPdPt crystal.

Cell: 4.9751 4.9751 4.9751 Å, 60.00 60.00 60.00°
Last column: nearest neighbours and their distance in Å.
Fractional positions:
Pa (0.0000, 0.0000, 0.0000)  4 Pd 3.05, 4 Pt 3.05
Pt (0.7500, 0.7500, 0.7500)  4 Y 3.05, 4 Pa 3.05
Y (0.5000, 0.5000, 0.5000)  4 Pt 3.05, 4 Pd 3.05
Pd (0.2500, 0.2500, 0.2500)  4 Pa 3.05, 4 Y 3.05

Values from the calculation:
SG: No. 216
Final energy (eV/atom): -7.539
Crystal system: cubic
Calculated volume (Å³ per atom): 21.77

No. 2
A plane-wave DFT calculation with PBE-GGA was carried out for a relaxed ZrPaPdPt crystal.

Cell: 3.5556 4.4651 5.5622 Å, 90.00 108.64 90.00°
Last column: nearest neighbours and their distance in Å.
Fractional positions:
Zr (0.8569, 0.5000, 0.7138)  3 Pd 2.81-3.04, 4 Pt 2.91
Pa (0.1411, 0.0000, 0.2822)  3 Pt 2.85-3.00, 4 Pd 2.90
Pt (0.4116, 0.0000, 0.8233)  3 Pa 2.85-3.00, 4 Zr 2.91, 2 Pd 2.92
Pd (0.5903, 0.5000, 0.1807)  3 Zr 2.81-3.04, 4 Pa 2.90, 2 Pt 2.92

Values from the calculation:
SG: No. 38
Final energy (eV/atom): -8.078
Crystal system: orthorhombic
Offset from the most stable computed form (eV per atom): 0.000
Calculated volume (Å³ per atom): 20.92

No. 3
A plane-wave DFT calculation with PBE-GGA was carried out for a relaxed ZrPaPdPt crystal.

Cell: 4.8676 4.8676 4.8676 Å, 60.00 60.00 60.00°
Last column: nearest neighbours and their distance in Å.
Fractional positions:
Pt (0.7500, 0.7500, 0.7500)  4 Zr 2.98, 4 Pa 2.98
Zr (0.0000, 0.0000, 0.0000)  4 Pt 2.98, 4 Pd 2.98
Pa (0.5000, 0.5000, 0.5000)  4 Pd 2.98, 4 Pt 2.98
Pd (0.2500, 0.2500, 0.2500)  4 Zr 2.98, 4 Pa 2.98

Values from the calculation:
SG: No. 216
Final energy (eV/atom): -7.933
Crystal system: cubic
Offset from the most stable computed form (eV per atom): 0.144
Calculated volume (Å³ per atom): 20.39

No. 4
A plane-wave DFT calculation with PBE-GGA was carried out for a relaxed Pu2PaPd6 crystal.

Cell: 5.7670 6.0425 6.0425 Å, 59.86 89.95 89.95°
Last column: nearest neighbours and their distance in Å.
Fractional positions:
Pd (0.3220, 0.3619, 0.8191)  1 Pa 2.65, 4 Pd 2.76-2.80
Pd (0.6786, 0.1816, 0.1816)  1 Pa 2.65, 4 Pd 2.76-2.80
Pd (0.3214, 0.8184, 0.8184)  1 Pa 2.65, 4 Pd 2.76-2.80
Pd (0.6780, 0.6381, 0.1809)  1 Pa 2.65, 4 Pd 2.76-2.80
Pa (0.0000, 0.0000, 0.0000)  6 Pd 2.65
Pd (0.6780, 0.1809, 0.6381)  1 Pa 2.65, 4 Pd 2.76-2.80
Pu (0.1742, 0.3333, 0.3333)  12 Pd 3.14-3.31
Pu (0.8258, 0.6667, 0.6667)  12 Pd 3.14-3.31
Pd (0.3220, 0.8191, 0.3619)  1 Pa 2.65, 4 Pd 2.76-2.80

Values from the calculation:
SG: No. 12
Final energy (eV/atom): -8.190
Crystal system: monoclinic
Calculated volume (Å³ per atom): 20.23